Entry 1:
Computed, not measured: crystalline BeZnSBr at its relaxed geometry at the PBE level of DFT.

Lattice parameters (Å, degrees): 7.8767 7.8767 3.4491 102.23 102.23 27.00
Atoms (fractional coordinates):
Be1 0.0000 0.0000 0.0000
Zn1 0.6828 0.6828 0.6766
S1 0.0791 0.0791 0.5765
Br1 0.4114 0.4114 0.9136


Entry 2:
Computed, not measured: crystalline BeZnSBr at its relaxed geometry at the PBE level of DFT.

Lattice parameters (Å, degrees): 3.5070 3.5076 9.6370 86.40 85.82 60.11
Atoms (fractional coordinates):
Be1 0.0000 0.0000 0.0000
Zn1 0.4038 0.3463 0.6077
S1 0.3338 0.3336 0.9989
Br1 0.7646 0.6985 0.4362


Entry 3:
Computed, not measured: crystalline BeZnSBr at its relaxed geometry at the PBE level of DFT.

Lattice parameters (Å, degrees): 3.5145 4.8372 5.5979 76.99 81.32 79.42
Atoms (fractional coordinates):
Be1 0.0000 0.0000 0.0000
Zn1 0.4241 0.6906 0.7305
S1 0.4928 0.1702 0.8467
Br1 0.9922 0.6962 0.3484


Entry 4:
Computed, not measured: crystalline BeZnSBr at its relaxed geometry at the PBE level of DFT.

Lattice parameters (Å, degrees): 3.6535 4.8437 6.7829 74.19 75.50 67.95
Atoms (fractional coordinates):
Be1 0.0000 0.0000 0.0000
Zn1 0.2856 0.6011 0.8120
S1 0.9550 0.3240 0.7445
Br1 0.4413 0.9312 0.2001


Entry 5:
Computed, not measured: crystalline BeSbBr at its relaxed geometry at the PBE level of DFT.

Lattice parameters (Å, degrees): 8.2862 8.2862 8.2862 157.67 156.40 32.71
Atoms (fractional coordinates):
Be1 0.0000 0.0000 0.0000
Sb1 0.4049 0.4049 0.0000
Br1 0.1263 0.1263 0.0000


Entry 6:
Computed, not measured: crystalline Be3SbBr at its relaxed geometry at the PBE level of DFT.

Lattice parameters (Å, degrees): 4.8581 4.8581 4.8581 90.00 90.00 90.00
Atoms (fractional coordinates):
Be1 0.0000 0.0000 0.5000
Be2 0.0000 0.5000 0.0000
Be3 0.5000 0.0000 0.0000
Sb1 0.0000 0.0000 0.0000
Br1 0.5000 0.5000 0.5000


The evaluated energy relative to the elements, uncorrected for the records listed, in turn: -0.43; -0.37; -0.46; -0.44; 0.04; 0.97 eV per atom.